1.
VASP calculation (GGA-PBE) on a relaxed K2CdCu crystal.

Values from the calculation:
- uncorrected energy (hartree per atom) = -0.0580
- SG = P2/m, No. 10
- formation enthalpy at 0 K (eV/atom) = 0.225
- volume (Å³/cell) = 141.6

a b c (Å): 4.2440 3.9783 9.2861
angles (deg): 64.58 90.00 90.00
Fractional coordinates of all 4 atoms:
K: 0.0000 0.4746 0.5255
K: 0.0000 0.0254 0.9745
Cu: 0.5000 0.7500 0.7500
Cd: 0.5000 0.2500 0.2500

***

2.
VASP calculation (GGA-PBE) on a relaxed TbFePd6 crystal.

Values from the calculation:
- uncorrected energy (hartree per atom) = -0.2201
- SG = P4/mmm, No. 123
- formation enthalpy at 0 K (eV/atom) = -0.458
- volume (Å³/cell) = 129.6

a b c (Å): 4.0294 4.0294 7.9836
angles (deg): 90.00 90.00 90.00
Fractional coordinates of all 8 atoms:
Tb: 0.0000 0.0000 0.0000
Pd: 0.5000 0.0000 0.2676
Pd: 0.0000 0.5000 0.7324
Pd: 0.0000 0.5000 0.2676
Pd: 0.5000 0.0000 0.7324
Pd: 0.5000 0.5000 0.5000
Pd: 0.5000 0.5000 0.0000
Fe: 0.0000 0.0000 0.5000

***

3.
VASP calculation (GGA-PBE) on a relaxed Na2Ga2Co crystal.

Values from the calculation:
- uncorrected energy (hartree per atom) = -0.1128
- SG = P4/mbm, No. 127
- formation enthalpy at 0 K (eV/atom) = 0.090
- volume (Å³/cell) = 213.1

a b c (Å): 6.3638 6.3638 5.2631
angles (deg): 90.00 90.00 90.00
Fractional coordinates of all 10 atoms:
Na: 0.3260 0.1740 0.5000
Na: 0.6740 0.8260 0.5000
Na: 0.8260 0.3260 0.5000
Na: 0.1740 0.6740 0.5000
Ga: 0.8123 0.6877 0.0000
Ga: 0.1877 0.3123 0.0000
Ga: 0.3123 0.8123 0.0000
Ga: 0.6877 0.1877 0.0000
Co: 0.5000 0.5000 0.0000
Co: 0.0000 0.0000 0.0000

***

4.
VASP calculation (GGA-PBE) on a relaxed KMn2Ni crystal.

Values from the calculation:
- uncorrected energy (hartree per atom) = -0.1914
- SG = Cmmm, No. 65
- formation enthalpy at 0 K (eV/atom) = 1.097
- energy relative to the lowest polymorph listed for this composition (meV/atom) = 530
- volume (Å³/cell) = 70.8

a b c (Å): 5.2062 5.2062 2.8575
angles (deg): 90.00 90.00 113.99
Fractional coordinates of all 4 atoms:
Mn: 0.5000 0.5000 0.0000
Mn: 0.0000 0.0000 0.0000
K: 0.0000 0.5000 0.5000
Ni: 0.5000 0.0000 0.5000

***

5.
VASP calculation (GGA-PBE) on a relaxed Tm2Re3Si5 crystal.

Values from the calculation:
- uncorrected energy (hartree per atom) = -0.2899
- SG = Ibam, No. 72
- formation energy (no corrections) (meV per atom) = -547
- energy relative to the lowest polymorph listed for this composition (meV/atom) = 36
- volume (Å³/cell) = 333.5

a b c (Å): 5.4911 8.3860 8.3860
angles (deg): 70.49 70.89 70.89
Fractional coordinates of all 20 atoms:
Re: 0.2500 0.0000 0.0000
Re: 0.8493 0.7355 0.5660
Re: 0.7500 0.0000 0.0000
Re: 0.3493 0.5660 0.7355
Re: 0.6507 0.4340 0.2645
Re: 0.1507 0.2645 0.4340
Si: 0.0970 0.0847 0.7212
Si: 0.2500 0.5000 0.5000
Si: 0.5458 0.2042 0.2042
Si: 0.9030 0.9153 0.2788
Si: 0.9542 0.7958 0.7958
Si: 0.0458 0.2042 0.2042
Si: 0.4030 0.2788 0.9153
Si: 0.7500 0.5000 0.5000
Si: 0.5970 0.7212 0.0847
Si: 0.4542 0.7958 0.7958
Tm: 0.8640 0.3967 0.8753
Tm: 0.1360 0.6033 0.1247
Tm: 0.6360 0.1247 0.6033
Tm: 0.3640 0.8753 0.3967

***

6.
VASP calculation (GGA-PBE) on a relaxed LiScIn2Ir crystal.

Values from the calculation:
- uncorrected energy (hartree per atom) = -0.1461
- SG = P4/mmm, No. 123
- formation enthalpy at 0 K (eV/atom) = 0.540
- volume (Å³/cell) = 146.7

a b c (Å): 5.5749 4.7197 5.5749
angles (deg): 90.00 90.00 90.00
Fractional coordinates of all 5 atoms:
In: 0.0000 0.0000 0.5000
In: 0.5000 0.0000 0.0000
Ir: 0.0000 0.5000 0.0000
Li: 0.5000 0.5000 0.5000
Sc: 0.0000 0.0000 0.0000

***

7.
VASP calculation (GGA-PBE) on a relaxed DySc2As3 crystal.

Values from the calculation:
- uncorrected energy (hartree per atom) = -0.2430
- SG = Immm, No. 71
- formation enthalpy at 0 K (eV/atom) = -1.409
- volume (Å³/cell) = 132.3

a b c (Å): 3.9614 5.6276 6.8598
angles (deg): 114.22 106.78 90.00
Fractional coordinates of all 6 atoms:
As: 0.6749 0.6749 0.3498
As: 0.3251 0.3251 0.6502
As: 0.0000 0.0000 0.0000
Dy: 0.0000 0.5000 0.0000
Sc: 0.6650 0.1650 0.3299
Sc: 0.3350 0.8350 0.6701

***

8.
VASP calculation (GGA-PBE) on a relaxed Sm4P3F crystal.

Values from the calculation:
- uncorrected energy (hartree per atom) = -0.2361
- SG = Cmm2, No. 35
- formation energy (no corrections) (meV per atom) = -1803
- volume (Å³/cell) = 185.0

a b c (Å): 4.0474 6.9563 6.9563
angles (deg): 70.82 90.00 90.00
Fractional coordinates of all 8 atoms:
F: 0.5015 0.5004 0.9997
P: 0.4996 0.0001 0.5000
P: 0.9999 0.0000 0.0000
P: 0.9999 0.5001 0.5000
Sm: 0.5000 0.2488 0.7487
Sm: 0.9994 0.2403 0.2598
Sm: 0.4999 0.7513 0.2513
Sm: 0.9994 0.7599 0.7402

***

Question: Which value of volume does entry 7 give?
Answer: 132.3 Å³/cell

***

Question: The highest uncorrected energy belongs to which entry?
Answer: K2CdCu